ZrSb2 | GGA-PBEsol | relaxed

Lattice parameters (Å, degrees): 3.767 3.767 5.434 110.28 110.28 90.00
Element x y z (fractional)
Sb1 0.341 0.341 0.682
Sb2 0.659 0.659 0.318
Zr1 0.000 0.000 0.000

## Properties
energy relative to the elements, uncorrected: -0.593 eV/atom
total magnetization: 0.0000 μB per atom
V: 22.40 Å³ per atom



ZrSb | GGA-PBEsol | relaxed

Lattice parameters (Å, degrees): 3.771 5.524 14.023 90.00 90.00 109.96
Element x y z (fractional)
Zr1 0.072 0.143 0.609
Sb1 0.357 0.715 0.549
Sb2 0.330 0.660 0.250
Sb3 0.670 0.340 0.750
Zr2 0.619 0.238 0.250
Zr3 0.928 0.857 0.391
Sb4 0.643 0.285 0.049
Sb5 0.357 0.715 0.951
Zr4 0.381 0.762 0.750
Sb6 0.643 0.285 0.451
Zr5 0.928 0.857 0.109
Zr6 0.072 0.143 0.891

## Properties
energy relative to the elements, uncorrected: -0.774 eV/atom
total magnetization: 0.0000 μB per atom
V: 22.88 Å³ per atom



Summary of calculated density in g/cm3
8.3 7.7
(order as listed above)